# KNa2Mo2O7 | Alexandria | PBE with a Hubbard U | relaxed
# M_tot in Bohr magnetons per cell: 3.00
# E_tot in eV/atom: -6.05
# Density of states at the Fermi level in states/eV/f.u.: 6.310
# Crystal system: trigonal
data_KNa2Mo2O7
_symmetry_space_group_name_H-M 'R 3 2'
_symmetry_Int_Tables_number 155
_symmetry_space_group_name_Hall 'R 3 2"'
_cell_length_a 6.2147
_cell_length_b 6.2147
_cell_length_c 24.9361
_cell_angle_alpha 90.00
_cell_angle_beta 90.00
_cell_angle_gamma 120.00
loop_
_atom_site_label
_atom_site_fract_x
_atom_site_fract_y
_atom_site_fract_z
_atom_site_occupancy
K1 0.0000 0.0000 0.0000 1
Na1 0.0000 0.0000 0.2776 1
Mo1 0.0000 0.0000 0.4234 1
O1 0.0000 0.0000 0.5000 1
O2 0.0100 0.2765 0.3979 1